First-principles (PBE) data for a geometry-optimized Pr6CdIn5 structure, as listed in Alexandria via LeMat-Bulk.

Unit cell a=5.5252 b=9.5626 c=9.5626 alpha=120.07 beta=106.77 gamma=106.77
Atoms (fractional coordinates):
In1 0.5000 0.5000 0.5000
In2 0.5000 0.1643 0.8357
In3 0.5000 0.8357 0.1643
In4 0.0000 0.3339 0.6661
In5 0.0000 0.6661 0.3339
Pr1 0.7505 0.9171 0.5838
Pr2 0.2508 0.7509 0.7509
Pr3 0.2495 0.0829 0.4162
Pr4 0.7505 0.5838 0.9171
Pr5 0.2495 0.4162 0.0829
Pr6 0.7492 0.2491 0.2491
Cd1 0.0000 0.0000 0.0000

Output
Energy above the lowest structure with this stoichiometry   0.000 eV/atom
ΔE_f   -0.47 eV per atom